Y2HgN | PBE-GGA | relaxed

Output
crystal system = trigonal
ΔE_f (raw) = -1.01 eV/atom
energy above the most stable polymorph in this dataset = 0 kJ/mol of formula units

Cell lengths 7.9798, 7.9798, 7.9798 Å; angles 25.64, 25.64, 25.64 degrees
Positions (direct):
Y 0.2251 0.2251 0.2251
Y 0.7749 0.7749 0.7749
Hg 0.0000 0.0000 0.0000
N 0.5000 0.5000 0.5000

---

Y2ZnHgN | PBE-GGA | relaxed

Output
crystal system = tetragonal
ΔE_f (raw) = -0.65 eV/atom

Cell lengths 4.8370, 4.8370, 4.2339 Å; angles 90.00, 90.00, 90.00 degrees
Positions (direct):
Y 0.0000 0.5000 0.0000
Y 0.5000 0.0000 0.0000
Zn 0.0000 0.0000 0.5000
Hg 0.5000 0.5000 0.5000
N 0.0000 0.0000 0.0000

---

ZnHg3N | PBE-GGA | relaxed

Output
crystal system = cubic
ΔE_f (raw) = 1.07 eV/atom
energy above the most stable polymorph in this dataset = 118 kJ/mol of formula units

Cell lengths 5.3060, 5.3060, 5.3060 Å; angles 90.00, 90.00, 90.00 degrees
Positions (direct):
Zn 0.0000 0.0000 0.0000
Hg 0.0000 0.0000 0.5000
Hg 0.0000 0.5000 0.0000
Hg 0.5000 0.0000 0.0000
N 0.5000 0.5000 0.5000

---

ZnHg3N | PBE-GGA | relaxed

Output
crystal system = cubic
ΔE_f (raw) = 0.82 eV/atom
energy above the most stable polymorph in this dataset = 0 kJ/mol of formula units

Cell lengths 4.8200, 4.8200, 4.8200 Å; angles 90.00, 90.00, 90.00 degrees
Positions (direct):
Zn 0.0000 0.0000 0.0000
Hg 0.0000 0.5000 0.5000
Hg 0.5000 0.0000 0.5000
Hg 0.5000 0.5000 0.0000
N 0.5000 0.5000 0.5000

---

ZrZnHgN2 | PBE-GGA | relaxed

Output
crystal system = tetragonal
ΔE_f (raw) = 2.02 eV/atom

Cell lengths 4.1988, 4.1988, 5.5389 Å; angles 90.00, 90.00, 90.00 degrees
Positions (direct):
Zr 0.0000 0.0000 0.0000
Zn 0.5000 0.5000 0.0000
Hg 0.0000 0.0000 0.5000
N 0.0000 0.5000 0.5000
N 0.5000 0.0000 0.5000

---

ZrHg3N | PBE-GGA | relaxed

Output
crystal system = cubic
ΔE_f (raw) = 1.00 eV/atom
energy above the most stable polymorph in this dataset = 0 kJ/mol of formula units

Cell lengths 4.7039, 4.7039, 4.7039 Å; angles 90.00, 90.00, 90.00 degrees
Positions (direct):
Zr 0.0000 0.0000 0.0000
Hg 0.0000 0.5000 0.5000
Hg 0.5000 0.0000 0.5000
Hg 0.5000 0.5000 0.0000
N 0.5000 0.5000 0.5000

---

Zr4Hg2N | PBE-GGA | relaxed

Output
crystal system = tetragonal
ΔE_f (raw) = -0.51 eV/atom
energy above the most stable polymorph in this dataset = 20 kJ/mol of formula units

Cell lengths 7.9915, 7.9915, 7.9915 Å; angles 147.79, 147.79, 46.20 degrees
Positions (direct):
Zr 0.0000 0.5000 0.5000
Zr 0.1606 0.1606 0.0000
Zr 0.5000 0.0000 0.5000
Zr 0.8394 0.8394 0.0000
Hg 0.3589 0.3589 0.0000
Hg 0.6411 0.6411 0.0000
N 0.0000 0.0000 0.0000

---

ZrHgN3 | PBE-GGA | relaxed

Output
crystal system = cubic
ΔE_f (raw) = 1.67 eV/atom

Cell lengths 4.0462, 4.0462, 4.0462 Å; angles 90.00, 90.00, 90.00 degrees
Positions (direct):
Zr 0.0000 0.0000 0.0000
Hg 0.5000 0.5000 0.5000
N 0.0000 0.5000 0.5000
N 0.5000 0.0000 0.5000
N 0.5000 0.5000 0.0000

---

Zr4HgN2 | PBE-GGA | relaxed

Output
crystal system = orthorhombic
ΔE_f (raw) = -1.06 eV/atom
energy above the most stable polymorph in this dataset = 7 kJ/mol of formula units

Cell lengths 5.9868, 5.9868, 11.9644 Å; angles 90.00, 90.00, 146.93 degrees
Positions (direct):
Zr 0.0000 0.0000 0.0000
Zr 0.0000 0.0000 0.5000
Zr 0.2558 0.7442 0.6006
Zr 0.2558 0.7442 0.8994
Zr 0.4129 0.5871 0.2500
Zr 0.5871 0.4129 0.7500
Zr 0.7442 0.2558 0.1006
Zr 0.7442 0.2558 0.3994
Hg 0.1124 0.8876 0.2500
Hg 0.8876 0.1124 0.7500
N 0.3679 0.6321 0.0608
N 0.3679 0.6321 0.4392
N 0.6321 0.3679 0.5608
N 0.6321 0.3679 0.9392

---

Zr4HgN | PBE-GGA | relaxed

Output
crystal system = monoclinic
ΔE_f (raw) = -0.44 eV/atom

Cell lengths 8.1382, 5.1774, 6.7304 Å; angles 90.00, 112.27, 90.00 degrees
Positions (direct):
Zr 0.1199 0.2479 0.3046
Zr 0.1199 0.2521 0.8046
Zr 0.2296 0.7363 0.1099
Zr 0.2296 0.7637 0.6099
Zr 0.7704 0.2363 0.3901
Zr 0.7704 0.2637 0.8901
Zr 0.8801 0.7479 0.1954
Zr 0.8801 0.7521 0.6954
Hg 0.5000 0.0000 0.0000
Hg 0.5000 0.5000 0.5000
N 0.0000 0.0000 0.0000
N 0.0000 0.5000 0.5000

---

Zr4Hg2N | PBE-GGA | relaxed

Output
crystal system = orthorhombic
ΔE_f (raw) = -0.54 eV/atom
energy above the most stable polymorph in this dataset = 0 kJ/mol of formula units

Cell lengths 7.7703, 11.1433, 3.3317 Å; angles 90.00, 90.00, 90.00 degrees
Positions (direct):
Zr 0.1295 0.1826 0.0000
Zr 0.1733 0.9361 0.5000
Zr 0.3267 0.4361 0.5000
Zr 0.3705 0.6826 0.0000
Zr 0.6295 0.3174 0.0000
Zr 0.6733 0.5639 0.5000
Zr 0.8267 0.0639 0.5000
Zr 0.8705 0.8174 0.0000
Hg 0.0546 0.6358 0.5000
Hg 0.4454 0.1358 0.5000
Hg 0.5546 0.8642 0.5000
Hg 0.9454 0.3642 0.5000
N 0.0000 0.0000 0.0000
N 0.5000 0.5000 0.0000

---

ZrHgN3 | PBE-GGA | relaxed

Output
crystal system = cubic
ΔE_f (raw) = 0.92 eV/atom

Cell lengths 4.2879, 4.2879, 4.2879 Å; angles 90.00, 90.00, 90.00 degrees
Positions (direct):
Zr 0.0000 0.0000 0.0000
Hg 0.5000 0.5000 0.5000
N 0.0000 0.0000 0.5000
N 0.0000 0.5000 0.0000
N 0.5000 0.0000 0.0000

---

Zr4HgN2 | PBE-GGA | relaxed

Output
crystal system = trigonal
ΔE_f (raw) = -1.07 eV/atom
energy above the most stable polymorph in this dataset = 0 kJ/mol of formula units

Cell lengths 12.7045, 12.7045, 12.7045 Å; angles 15.05, 15.05, 15.05 degrees
Positions (direct):
Zr 0.1305 0.1305 0.1305
Zr 0.2686 0.2686 0.2686
Zr 0.7314 0.7314 0.7314
Zr 0.8695 0.8695 0.8695
Hg 0.0000 0.0000 0.0000
N 0.4302 0.4302 0.4302
N 0.5698 0.5698 0.5698

---

ZrHgN2 | PBE-GGA | relaxed

Output
crystal system = tetragonal
ΔE_f (raw) = -0.34 eV/atom

Cell lengths 6.2733, 6.2733, 6.2733 Å; angles 131.79, 131.79, 70.56 degrees
Positions (direct):
Zr 0.0000 0.0000 0.0000
Zr 0.7500 0.2500 0.5000
Hg 0.2500 0.7500 0.5000
Hg 0.5000 0.5000 0.0000
N 0.0801 0.6250 0.9551
N 0.3750 0.3301 0.4551
N 0.6699 0.1250 0.0449
N 0.8750 0.9199 0.5449

---

Zr6Hg2N | PBE-GGA | relaxed

Output
crystal system = orthorhombic
ΔE_f (raw) = -0.26 eV/atom

Cell lengths 3.3147, 7.9439, 7.9439 Å; angles 119.45, 90.00, 90.00 degrees
Positions (direct):
Zr 0.0000 0.0000 0.0000
Zr 0.0000 0.5358 0.7495
Zr 0.0000 0.7495 0.5358
Zr 0.5000 0.1306 0.7626
Zr 0.5000 0.3407 0.3407
Zr 0.5000 0.7626 0.1306
Hg 0.0000 0.0861 0.4353
Hg 0.0000 0.4353 0.0861
N 0.5000 0.8037 0.8037

---

Zr3Hg3N | PBE-GGA | relaxed

Output
crystal system = cubic
ΔE_f (raw) = -0.52 eV/atom

Cell lengths 9.1227, 9.1227, 9.1227 Å; angles 60.00, 60.00, 60.00 degrees
Positions (direct):
Zr 0.0510 0.0510 0.6990
Zr 0.0510 0.6990 0.0510
Zr 0.0510 0.6990 0.6990
Zr 0.3010 0.3010 0.9490
Zr 0.3010 0.9490 0.3010
Zr 0.3010 0.9490 0.9490
Zr 0.6990 0.0510 0.0510
Zr 0.6990 0.0510 0.6990
Zr 0.6990 0.6990 0.0510
Zr 0.9490 0.3010 0.3010
Zr 0.9490 0.3010 0.9490
Zr 0.9490 0.9490 0.3010
Hg 0.0000 0.5000 0.5000
Hg 0.2844 0.2844 0.2844
Hg 0.2844 0.2844 0.6469
Hg 0.2844 0.6469 0.2844
Hg 0.3531 0.7156 0.7156
Hg 0.5000 0.0000 0.5000
Hg 0.5000 0.5000 0.0000
Hg 0.5000 0.5000 0.5000
Hg 0.6469 0.2844 0.2844
Hg 0.7156 0.3531 0.7156
Hg 0.7156 0.7156 0.3531
Hg 0.7156 0.7156 0.7156
N 0.0000 0.0000 0.0000
N 0.0000 0.0000 0.5000
N 0.0000 0.5000 0.0000
N 0.5000 0.0000 0.0000

---

ZrHg3N | PBE-GGA | relaxed

Output
crystal system = cubic
ΔE_f (raw) = 1.79 eV/atom
energy above the most stable polymorph in this dataset = 383 kJ/mol of formula units

Cell lengths 5.6105, 5.6105, 5.6105 Å; angles 90.00, 90.00, 90.00 degrees
Positions (direct):
Zr 0.0000 0.0000 0.0000
Hg 0.0000 0.0000 0.5000
Hg 0.0000 0.5000 0.0000
Hg 0.5000 0.0000 0.0000
N 0.5000 0.5000 0.5000

---

Zr4Hg5N | PBE-GGA | relaxed

Output
crystal system = monoclinic
ΔE_f (raw) = -0.39 eV/atom

Cell lengths 8.3724, 8.3724, 8.0765 Å; angles 102.79, 102.79, 23.20 degrees
Positions (direct):
Zr 0.0056 0.0056 0.1839
Zr 0.3566 0.3566 0.9510
Zr 0.6434 0.6434 0.0490
Zr 0.9944 0.9944 0.8161
Hg 0.1719 0.1719 0.7512
Hg 0.1860 0.1860 0.3744
Hg 0.5000 0.5000 0.5000
Hg 0.8140 0.8140 0.6256
Hg 0.8281 0.8281 0.2488
N 0.5000 0.5000 0.0000

---

Zr6Hg3N | PBE-GGA | relaxed

Output
crystal system = monoclinic
ΔE_f (raw) = -0.30 eV/atom

Cell lengths 6.0599, 6.0599, 7.0970 Å; angles 105.57, 105.57, 61.36 degrees
Positions (direct):
Zr 0.1356 0.6508 0.6321
Zr 0.1714 0.1714 0.7995
Zr 0.3492 0.8644 0.3679
Zr 0.6508 0.1356 0.6321
Zr 0.8286 0.8286 0.2005
Zr 0.8644 0.3492 0.3679
Hg 0.3219 0.3219 0.2482
Hg 0.5000 0.5000 0.0000
Hg 0.6781 0.6781 0.7518
N 0.0000 0.0000 0.5000

---

ZrHgN2 | PBE-GGA | relaxed

Output
crystal system = trigonal
ΔE_f (raw) = -0.51 eV/atom

Cell lengths 6.5822, 6.5822, 6.5822 Å; angles 30.04, 30.04, 30.04 degrees
Positions (direct):
Zr 0.0000 0.0000 0.0000
Hg 0.5000 0.5000 0.5000
N 0.3907 0.3907 0.3907
N 0.6093 0.6093 0.6093

---

Na5Hg7 | PBE-GGA | relaxed

Output
crystal system = monoclinic

Cell lengths 8.3549, 8.3549, 12.2830 Å; angles 118.23, 118.23, 25.05 degrees
Positions (direct):
Na 0.0000 0.0000 0.0000
Na 0.1546 0.1546 0.4829
Na 0.3000 0.3000 0.2369
Na 0.7000 0.7000 0.7631
Na 0.8454 0.8454 0.5171
Hg 0.0333 0.0333 0.7610
Hg 0.3355 0.3355 0.9969
Hg 0.3594 0.3594 0.7484
Hg 0.5000 0.5000 0.5000
Hg 0.6406 0.6406 0.2516
Hg 0.6645 0.6645 0.0031
Hg 0.9667 0.9667 0.2390

---

NaHg11 | PBE-GGA | relaxed

Output
crystal system = hexagonal

Cell lengths 10.7819, 10.7819, 3.1756 Å; angles 90.00, 90.00, 120.00 degrees
Positions (direct):
Na 0.0000 0.0000 0.0000
Hg 0.0000 0.5000 0.0000
Hg 0.1674 0.3348 0.5000
Hg 0.1674 0.8326 0.5000
Hg 0.3333 0.6667 0.0000
Hg 0.3348 0.1674 0.5000
Hg 0.5000 0.0000 0.0000
Hg 0.5000 0.5000 0.0000
Hg 0.6652 0.8326 0.5000
Hg 0.6667 0.3333 0.0000
Hg 0.8326 0.1674 0.5000
Hg 0.8326 0.6652 0.5000

---

Na6Hg | PBE-GGA | relaxed

Output
crystal system = cubic
energy above the most stable polymorph in this dataset = 259 kJ/mol of formula units

Cell lengths 7.9581, 7.9581, 7.9581 Å; angles 109.47, 109.47, 109.47 degrees
Positions (direct):
Na 0.2500 0.5000 0.7500
Na 0.2500 0.7500 0.5000
Na 0.5000 0.2500 0.7500
Na 0.5000 0.7500 0.2500
Na 0.7500 0.2500 0.5000
Na 0.7500 0.5000 0.2500
Hg 0.0000 0.0000 0.0000

---

no.,E_tot (eV/atom)
1,-6.4024
2,-5.2157
3,-1.0344
4,-1.2790
5,-3.3371
6,-2.5595
7,-6.6707
8,-5.0929
9,-8.3658
10,-7.5806
11,-6.7002
12,-5.8405
13,-8.3766
14,-6.7174
15,-6.9522
16,-5.5008
17,-1.7662
18,-4.7921
19,-6.3486
20,-6.8860
21,-0.9205
22,-0.4212
23,-0.8600